No. 1
First-principles (PBE) data for a geometry-optimized PtSO4 structure, as listed in OQMD via LeMat-Bulk.

```
PtSO4
1.0
4.2245 0.0000 0.0000
0.0000 4.2245 0.0000
0.0000 0.0000 8.8714
Pt S O
2 2 8
Direct
0.0000 0.5000 0.0000
0.5000 0.0000 0.5000
0.0000 0.0000 0.2500
0.0000 0.0000 0.7500
0.2013 0.7831 0.1573
0.2013 0.7831 0.8427
0.2169 0.2013 0.3427
0.2169 0.2013 0.6573
0.7831 0.7987 0.3427
0.7831 0.7987 0.6573
0.7987 0.2169 0.1573
0.7987 0.2169 0.8427
```

Size of the total moment: 0.01 Bohr magnetons per cell
Raw total energy: -70.1 eV/cell

=====

No. 2
First-principles (PBE) data for a geometry-optimized MgNbTlS3 structure, as listed in OQMD via LeMat-Bulk.

```
MgNbTlS3
1.0
1.8224 -7.3010 0.0000
1.8224 7.3010 0.0000
0.0000 0.0000 10.0740
Mg Nb Tl S
2 2 2 6
Direct
0.0575 0.9425 0.7500
0.9425 0.0575 0.2500
0.5000 0.5000 0.0000
0.5000 0.5000 0.5000
0.2281 0.7719 0.2500
0.7719 0.2281 0.7500
0.1219 0.8781 0.5320
0.1219 0.8781 0.9680
0.4471 0.5529 0.7500
0.5529 0.4471 0.2500
0.8781 0.1219 0.0320
0.8781 0.1219 0.4680
```

Size of the total moment: 2.97 Bohr magnetons per cell
Raw total energy: -62.2 eV/cell